1.
# Li2PtSe, optimized geometry, DFT PBE
# Formation energy from raw total energies ... -0.1836 eV/atom
# Volume ... 210 Å³ per cell
data_Li2PtSe
_chemical_formula_sum 'Li6 Pt3 Se3'
_space_group_name_H-M_alt 'R 3 m'
_space_group_IT_number 160
_space_group_name_Hall 'R 3 -2"'
_cell_length_a 2.8219
_cell_length_b 2.8219
_cell_length_c 30.4580
_cell_angle_alpha 90.00
_cell_angle_beta 90.00
_cell_angle_gamma 120.00
loop_
_atom_site_label
_atom_site_type_symbol
_atom_site_fract_x
_atom_site_fract_y
_atom_site_fract_z
_atom_site_occupancy
Li1 Li 0.0000 0.0000 0.0000 1
Li2 Li 0.0000 0.0000 0.2423 1
Pt1 Pt 0.0000 0.0000 0.7304 1
Se1 Se 0.0000 0.0000 0.5099 1

2.
# Ca2PtAu, optimized geometry, DFT PBE
# Volume ... 195 Å³ per cell
# ΔH_f (0 K) ... -883 meV/atom
data_Ca2PtAu
_chemical_formula_sum 'Ca4 Pt2 Au2'
_space_group_name_H-M_alt 'P 1 21/m 1'
_space_group_IT_number 11
_cell_length_a 5.818
_cell_length_b 4.479
_cell_length_c 7.997
_cell_angle_alpha 90.00
_cell_angle_beta 110.46
_cell_angle_gamma 90.00
loop_
_space_group_symop_operation_xyz
'x,y,z'
'-x,-y,-z'
'-x,y+1/2,-z'
'x,-y+1/2,z'
loop_
_atom_site_label
_atom_site_type_symbol
_atom_site_fract_x
_atom_site_fract_y
_atom_site_fract_z
_atom_site_occupancy
Ca1 Ca 0.212 0.250 0.435 1
Ca2 Ca 0.228 0.250 0.924 1
Pt1 Pt 0.345 0.750 0.710 1
Au1 Au 0.332 0.750 0.211 1

3.
# Ca2CuCl, optimized geometry, DFT PBE
# Formation energy from raw total energies ... -0.7674 eV/atom
# Volume ... 104 Å³ per cell
# Relative energy among the computed polymorphs ... 67 meV/atom
data_Ca2CuCl
_chemical_formula_sum 'Ca2 Cu1 Cl1'
_space_group_name_H-M_alt 'P 4/m m m'
_space_group_IT_number 123
_space_group_name_Hall '-P 4 2'
_cell_length_a 4.151
_cell_length_b 4.151
_cell_length_c 6.007
_cell_angle_alpha 90.00
_cell_angle_beta 90.00
_cell_angle_gamma 90.00
loop_
_atom_site_label
_atom_site_type_symbol
_atom_site_fract_x
_atom_site_fract_y
_atom_site_fract_z
_atom_site_occupancy
Ca1 Ca 0.000 0.000 0.000 1
Ca2 Ca 0.500 0.500 0.500 1
Cu1 Cu 0.000 0.000 0.500 1
Cl1 Cl 0.500 0.500 0.000 1

4.
# Nd3SeSN, optimized geometry, DFT PBE
# Formation energy from raw total energies ... -1.5331 eV/atom
# Volume ... 300 Å³ per cell
data_Nd3SeSN
_chemical_formula_sum 'Nd6 Se2 S2 N2'
_space_group_name_H-M_alt 'P 1 21/m 1'
_space_group_IT_number 11
_cell_length_a 7.913
_cell_length_b 3.778
_cell_length_c 10.374
_cell_angle_alpha 90.00
_cell_angle_beta 104.39
_cell_angle_gamma 90.00
loop_
_space_group_symop_operation_xyz
'x,y,z'
'-x,-y,-z'
'-x,y+1/2,-z'
'x,-y+1/2,z'
loop_
_atom_site_label
_atom_site_type_symbol
_atom_site_fract_x
_atom_site_fract_y
_atom_site_fract_z
_atom_site_occupancy
Nd1 Nd 0.021 0.250 0.354 1
Nd2 Nd 0.304 0.250 0.058 1
Nd3 Nd 0.370 0.750 0.604 1
Se1 Se 0.308 0.750 0.296 1
S1 S 0.329 0.750 0.867 1
N1 N 0.165 0.250 0.579 1

5.
# CaTa2Tc, optimized geometry, DFT PBE
# Volume ... 83 Å³ per cell
# Relative energy among the computed polymorphs ... 60 meV/atom
# ΔH_f (0 K) ... 327 meV/atom
data_CaTa2Tc
_chemical_formula_sum 'Ca1 Ta2 Tc1'
_space_group_name_H-M_alt 'P 4/m m m'
_space_group_IT_number 123
_space_group_name_Hall '-P 4 2'
_cell_length_a 3.162
_cell_length_b 3.162
_cell_length_c 8.336
_cell_angle_alpha 90.00
_cell_angle_beta 90.00
_cell_angle_gamma 90.00
loop_
_atom_site_label
_atom_site_type_symbol
_atom_site_fract_x
_atom_site_fract_y
_atom_site_fract_z
_atom_site_occupancy
Ca1 Ca 0.000 0.000 0.000 1
Ta1 Ta 0.500 0.500 0.315 1
Tc1 Tc 0.000 0.000 0.500 1

6.
# Li2TaSb, optimized geometry, DFT PBE
# Formation energy from raw total energies ... 0.1380 eV/atom
# Volume ... 151 Å³ per cell
data_Li2TaSb
_chemical_formula_sum 'Li4 Ta2 Sb2'
_space_group_name_H-M_alt 'C 1 2/m 1'
_space_group_IT_number 12
_cell_length_a 5.580
_cell_length_b 10.187
_cell_length_c 2.945
_cell_angle_alpha 90.00
_cell_angle_beta 115.53
_cell_angle_gamma 90.00
loop_
_space_group_symop_operation_xyz
'x,y,z'
'-x,-y,-z'
'-x,y,-z'
'x,-y,z'
'x+1/2,y+1/2,z'
'-x+1/2,-y+1/2,-z'
'-x+1/2,y+1/2,-z'
'x+1/2,-y+1/2,z'
loop_
_atom_site_label
_atom_site_type_symbol
_atom_site_fract_x
_atom_site_fract_y
_atom_site_fract_z
_atom_site_occupancy
Li1 Li 0.250 0.250 0.000 1
Ta1 Ta 0.000 0.000 0.500 1
Sb1 Sb 0.000 0.500 0.500 1

7.
# FeSiOs2, optimized geometry, DFT PBE
# Formation energy from raw total energies ... 0.3086 eV/atom
# Volume ... 108 Å³ per cell
data_FeSiOs2
_chemical_formula_sum 'Fe2 Si2 Os4'
_space_group_name_H-M_alt 'C m m 2'
_space_group_IT_number 35
_cell_length_a 2.816
_cell_length_b 4.616
_cell_length_c 8.343
_cell_angle_alpha 90.00
_cell_angle_beta 90.00
_cell_angle_gamma 90.00
loop_
_space_group_symop_operation_xyz
'x,y,z'
'-x,-y,z'
'-x,y,z'
'x,-y,z'
'x+1/2,y+1/2,z'
'-x+1/2,-y+1/2,z'
'-x+1/2,y+1/2,z'
'x+1/2,-y+1/2,z'
loop_
_atom_site_label
_atom_site_type_symbol
_atom_site_fract_x
_atom_site_fract_y
_atom_site_fract_z
_atom_site_occupancy
Fe1 Fe 0.000 0.000 0.000 1
Si1 Si 0.000 0.500 0.775 1
Os1 Os 0.000 0.000 0.540 1
Os2 Os 0.000 0.500 0.256 1

8.
# Sr2TlCd12Ag3, optimized geometry, DFT PBE
# Volume ... 1661 Å³ per cell
# ΔH_f (0 K) ... 118 meV/atom
data_Sr2TlCd12Ag3
_chemical_formula_sum 'Sr6 Tl3 Cd36 Ag9'
_space_group_name_H-M_alt 'R -3 m'
_space_group_IT_number 166
_space_group_name_Hall '-R 3 2"'
_cell_length_a 10.0832
_cell_length_b 10.0832
_cell_length_c 18.8659
_cell_angle_alpha 90.00
_cell_angle_beta 90.00
_cell_angle_gamma 120.00
loop_
_atom_site_label
_atom_site_type_symbol
_atom_site_fract_x
_atom_site_fract_y
_atom_site_fract_z
_atom_site_occupancy
Sr1 Sr 0.0000 0.0000 0.1007 1
Tl1 Tl 0.0000 0.0000 0.5000 1
Cd1 Cd 0.0149 0.5075 0.8549 1
Cd2 Cd 0.0187 0.5093 0.3144 1
Ag1 Ag 0.0000 0.5000 0.0000 1

9.
# Tb2YHoTe6, optimized geometry, DFT PBE
# Formation energy from raw total energies ... -1.3694 eV/atom
# Volume ... 1085 Å³ per cell
data_Tb2YHoTe6
_chemical_formula_sum 'Tb6 Y3 Ho3 Te18'
_space_group_name_H-M_alt 'R 3'
_space_group_IT_number 146
_space_group_name_Hall 'R 3'
_cell_length_a 7.7040
_cell_length_b 7.7040
_cell_length_c 21.1008
_cell_angle_alpha 90.00
_cell_angle_beta 90.00
_cell_angle_gamma 120.00
loop_
_atom_site_label
_atom_site_type_symbol
_atom_site_fract_x
_atom_site_fract_y
_atom_site_fract_z
_atom_site_occupancy
Tb1 Tb 0.0000 0.0000 0.0000 1
Tb2 Tb 0.0000 0.0000 0.4997 1
Y1 Y 0.0000 0.0000 0.1860 1
Ho1 Ho 0.0000 0.0000 0.6856 1
Te1 Te 0.0210 0.3506 0.7600 1
Te2 Te 0.0216 0.6687 0.2602 1

10.
# HfMg2C, optimized geometry, DFT PBE
# Volume ... 282 Å³ per cell
# ΔH_f (0 K) ... 412 meV/atom
data_HfMg2C
_chemical_formula_sum 'Hf4 Mg8 C4'
_space_group_name_H-M_alt 'I -4 2 d'
_space_group_IT_number 122
_space_group_name_Hall 'I -4 2bw'
_cell_length_a 7.827
_cell_length_b 7.827
_cell_length_c 4.608
_cell_angle_alpha 90.00
_cell_angle_beta 90.00
_cell_angle_gamma 90.00
loop_
_atom_site_label
_atom_site_type_symbol
_atom_site_fract_x
_atom_site_fract_y
_atom_site_fract_z
_atom_site_occupancy
Hf1 Hf 0.000 0.000 0.000 1
Mg1 Mg 0.145 0.250 0.625 1
C1 C 0.000 0.000 0.500 1

11.
# GaFePd2Au, optimized geometry, DFT PBE
# Volume ... 118 Å³ per cell
# ΔH_f (0 K) ... 996 meV/atom
data_GaFePd2Au
_chemical_formula_sum 'Ga1 Fe1 Pd2 Au1'
_space_group_name_H-M_alt 'P 4/m m m'
_space_group_IT_number 123
_space_group_name_Hall '-P 4 2'
_cell_length_a 5.035
_cell_length_b 5.035
_cell_length_c 4.675
_cell_angle_alpha 90.00
_cell_angle_beta 90.00
_cell_angle_gamma 90.00
loop_
_atom_site_label
_atom_site_type_symbol
_atom_site_fract_x
_atom_site_fract_y
_atom_site_fract_z
_atom_site_occupancy
Ga1 Ga 0.000 0.000 0.000 1
Fe1 Fe 0.500 0.500 0.000 1
Pd1 Pd 0.000 0.500 0.500 1
Au1 Au 0.500 0.500 0.500 1

12.
# Pm2SiI2, optimized geometry, DFT PBE
# Formation energy from raw total energies ... -1.1517 eV/atom
# Volume ... 389 Å³ per cell
# Relative energy among the computed polymorphs ... 0 meV/atom
data_Pm2SiI2
_chemical_formula_sum 'Pm4 Si2 I4'
_space_group_name_H-M_alt 'C 1 2/m 1'
_space_group_IT_number 12
_cell_length_a 7.489
_cell_length_b 4.324
_cell_length_c 12.331
_cell_angle_alpha 90.00
_cell_angle_beta 103.04
_cell_angle_gamma 90.00
loop_
_space_group_symop_operation_xyz
'x,y,z'
'-x,-y,-z'
'-x,y,-z'
'x,-y,z'
'x+1/2,y+1/2,z'
'-x+1/2,-y+1/2,-z'
'-x+1/2,y+1/2,-z'
'x+1/2,-y+1/2,z'
loop_
_atom_site_label
_atom_site_type_symbol
_atom_site_fract_x
_atom_site_fract_y
_atom_site_fract_z
_atom_site_occupancy
Pm1 Pm 0.217 0.000 0.135 1
Si1 Si 0.000 0.500 0.000 1
I1 I 0.053 0.000 0.695 1